(1)
PBE-GGA ZnNiAs, optimized geometry; formation energy = -46 meV per atom; magnetic moment = 0.000 μB/f.u.; raw total energy = -3.948 eV/atom
1.0
-0.8341 -5.3255 -2.5566
-0.1835 -5.9620 0.1220
-2.7197 -0.5768 0.5234
Zn As Ni
1 1 1
Direct
0.6916 0.6916 0.3084
0.9738 0.9738 0.0262
0.3346 0.3346 0.6654

---

(2)
PBE-GGA CaPmSn2Pd5, optimized geometry; formation energy = -630 meV per atom; magnetic moment = 0.000 μB/f.u.; raw total energy = -5.154 eV/atom
1.0
-3.8063 2.4994 0.4597
-1.6419 -1.7867 -3.8805
-3.7720 -6.5965 4.6331
Pm Pd Ca Sn
1 5 1 2
Direct
0.0000 0.0000 0.0000
0.0000 0.5000 0.2955
0.5000 0.5000 0.5000
0.0000 0.5000 0.7045
0.5000 0.0000 0.2955
0.5000 0.0000 0.7045
0.0000 0.0000 0.5000
0.5000 0.5000 0.1575
0.5000 0.5000 0.8425

---

(3)
PBE-GGA LiBeFe, optimized geometry; formation energy = 156 meV per atom; magnetic moment = 0.017 μB/f.u.; raw total energy = -4.545 eV/atom; offset from the most stable computed form = 48.1 meV per atom
1.0
-2.2179 0.3681 -0.8636
0.6842 -2.1294 -2.6646
-2.6292 -6.0616 4.1689
Li Fe Be
2 2 2
Direct
0.0000 0.0000 0.2378
0.5000 0.5000 0.0380
0.0000 0.0000 0.5649
0.5000 0.5000 0.4388
0.5000 0.5000 0.7275
0.0000 0.0000 0.8490

---

(4)
PBE-GGA Sm2Sn2Au, optimized geometry; formation energy = -764 meV per atom; magnetic moment = 0.000 μB/f.u.; raw total energy = -4.909 eV/atom
1.0
4.6192 0.0000 0.0000
2.3096 5.6872 -0.4630
2.3096 0.0565 10.0136
Sm Au Sn
4 2 4
Direct
0.0720 0.7465 0.1095
0.3238 0.6779 0.6745
0.6762 0.3221 0.3255
0.9280 0.2535 0.8905
0.6226 0.0873 0.6675
0.3774 0.9127 0.3325
0.0853 0.2669 0.5625
0.3488 0.1919 0.1106
0.9147 0.7331 0.4375
0.6512 0.8081 0.8894

---

(5)
PBE-GGA ScGe2W, optimized geometry; formation energy = -98 meV per atom; magnetic moment = 0.000 μB/f.u.; raw total energy = -7.228 eV/atom; offset from the most stable computed form = 0.0 meV per atom
1.0
-0.5541 3.5573 -0.1031
-2.2378 1.4038 -2.4482
-5.9506 0.9937 3.3596
Ge Sc W
2 1 1
Direct
0.2553 0.2553 0.2340
0.7447 0.7447 0.7660
0.5000 0.5000 0.5000
0.0000 0.0000 0.0000

---

(6)
PBE-GGA BaTlHg2Bi2, optimized geometry; formation energy = -324 meV per atom; magnetic moment = 0.000 μB/f.u.; raw total energy = -2.433 eV/atom
1.0
-5.0340 -1.7777 0.3091
2.4484 0.2848 -4.7456
2.6699 -7.3981 0.9334
Bi Hg Tl Ba
2 2 1 1
Direct
0.6667 0.3333 0.7082
0.3333 0.6667 0.2918
0.6667 0.3333 0.2472
0.3333 0.6667 0.7528
0.0000 0.0000 0.5000
0.0000 0.0000 0.0000

---

(7)
PBE-GGA Tb3Sm6ErSc2, optimized geometry; formation energy = 35 meV per atom; magnetic moment = 0.000 μB/f.u.; raw total energy = -4.917 eV/atom
1.0
-3.0917 -4.3676 3.0364
5.8493 -0.9575 -1.6501
2.6137 6.1893 9.4903
Sm Sc Er Tb
6 2 1 3
Direct
0.9185 0.5823 0.7564
0.2546 0.2546 0.7565
0.7454 0.7454 0.2435
0.0815 0.4177 0.2436
0.5823 0.9185 0.7564
0.4177 0.0815 0.2436
0.3333 0.6667 0.0000
0.6667 0.3333 0.0000
0.0000 0.0000 0.0000
0.8333 0.1667 0.5000
0.1667 0.8333 0.5000
0.5000 0.5000 0.5000

---

(8)
PBE-GGA AcInSbPb, optimized geometry; magnetic moment = 0.000 μB/f.u.; ΔE_f (raw) = -1.3 eV/f.u.; raw total energy = -4.006 eV/atom
1.0
-1.8692 -5.3126 -0.6098
-1.3118 -3.0829 4.5678
-5.4120 -1.2443 1.1186
Pb Sb Ac In
1 1 1 1
Direct
0.2500 0.2500 0.2500
0.0000 0.0000 0.0000
0.7500 0.7500 0.7500
0.5000 0.5000 0.5000